Crystalline BaSrMgWO6 at its relaxed geometry. Source: Alexandria, functional PBE+U.

Final energy ... -6.890 eV/atom
Density ... 6531 kg/m3

Lattice parameters (Å, degrees): 8.1335 8.1335 8.1335 90.00 90.00 90.00
Space group F-43m (No. 216)
Asymmetric unit:
Ba: 0.0000 0.0000 0.0000 [4 per cell]
Sr: 0.0000 0.0000 0.5000 [4 per cell]
Mg: 0.2500 0.2500 0.2500 [4 per cell]
W: 0.2500 0.2500 0.7500 [4 per cell]
O: 0.0093 0.2500 0.7500 [24 per cell]